Entry 1:
MgZnCdAu2 after structural relaxation, computed with PBE-GGA.

Summary:
formation energy = -0.305 eV per atom
DOS at the Fermi energy = 2.0 states/eV/cell
magnetic moment = 0.000 μB/cell

Cell: 4.554 4.554 5.570 Å, 90.00 90.00 120.00°
Atoms (fractional coordinates):
Au (0.333, 0.667, 0.153)
Au (0.667, 0.333, 0.852)
Mg (0.000, 0.000, 0.983)
Zn (0.333, 0.667, 0.647)
Cd (0.667, 0.333, 0.366)

=====

Entry 2:
MgZn2CdAu2 after structural relaxation, computed with PBE-GGA.

Summary:
formation energy = -0.104 eV per atom
DOS at the Fermi energy = 2.0 states/eV/cell
magnetic moment = 0.000 μB/cell

Cell: 4.413 4.413 7.753 Å, 73.47 73.47 60.00°
Atoms (fractional coordinates):
Au (0.256, 0.256, 0.233)
Au (0.744, 0.744, 0.767)
Mg (0.000, 0.000, 0.000)
Zn (0.620, 0.620, 0.141)
Zn (0.380, 0.380, 0.859)
Cd (0.500, 0.500, 0.500)

=====

Entry 3:
Mg2Zn2CdAu5 after structural relaxation, computed with PBE-GGA.

Summary:
formation energy = -0.274 eV per atom
DOS at the Fermi energy = 3.4 states/eV/cell
magnetic moment = 0.000 μB/cell

Cell: 3.747 10.011 10.011 Å, 90.00 90.00 90.00°
Atoms (fractional coordinates):
Zn (0.000, 0.630, 0.870)
Zn (0.000, 0.370, 0.130)
Zn (0.000, 0.130, 0.630)
Zn (0.000, 0.870, 0.370)
Au (0.500, 0.000, 0.500)
Au (0.500, 0.319, 0.614)
Au (0.500, 0.181, 0.114)
Au (0.500, 0.819, 0.886)
Au (0.500, 0.114, 0.819)
Au (0.500, 0.386, 0.319)
Au (0.500, 0.614, 0.681)
Au (0.500, 0.886, 0.181)
Au (0.500, 0.500, 0.000)
Au (0.500, 0.681, 0.386)
Mg (0.000, 0.664, 0.164)
Mg (0.000, 0.164, 0.336)
Mg (0.000, 0.836, 0.664)
Mg (0.000, 0.336, 0.836)
Cd (0.000, 0.000, 0.000)
Cd (0.000, 0.500, 0.500)

=====

Entry 4:
Mg2ZnCd2Au5 after structural relaxation, computed with PBE-GGA.

Summary:
formation energy = -0.278 eV per atom
DOS at the Fermi energy = 5.0 states/eV/cell
magnetic moment = 0.000 μB/cell

Cell: 3.136 11.200 11.200 Å, 90.00 90.00 90.00°
Atoms (fractional coordinates):
Mg (0.000, 0.853, 0.353)
Mg (0.000, 0.147, 0.647)
Mg (0.000, 0.647, 0.853)
Mg (0.000, 0.353, 0.147)
Au (0.500, 0.130, 0.854)
Au (0.500, 0.646, 0.370)
Au (0.500, 0.370, 0.354)
Au (0.500, 0.354, 0.630)
Au (0.500, 0.870, 0.146)
Au (0.500, 0.500, 0.000)
Au (0.500, 0.000, 0.500)
Au (0.500, 0.854, 0.870)
Au (0.500, 0.146, 0.130)
Au (0.500, 0.630, 0.646)
Cd (0.000, 0.150, 0.350)
Cd (0.000, 0.650, 0.150)
Cd (0.000, 0.850, 0.650)
Cd (0.000, 0.350, 0.850)
Zn (0.000, 0.000, 0.000)
Zn (0.000, 0.500, 0.500)